The following is a PBE calculation of an optimized crystal structure of Ni2HgAs, from the Alexandria database.

```
data_Ni2HgAs
_space_group_name_H-M_alt 'C 1 2/m 1'
_space_group_IT_number 12
_cell_length_a 6.982
_cell_length_b 3.337
_cell_length_c 5.772
_cell_angle_alpha 90.00
_cell_angle_beta 106.96
_cell_angle_gamma 90.00
loop_
_space_group_symop_operation_xyz
'x,y,z'
'-x,-y,-z'
'-x,y,-z'
'x,-y,z'
'x+1/2,y+1/2,z'
'-x+1/2,-y+1/2,-z'
'-x+1/2,y+1/2,-z'
'x+1/2,-y+1/2,z'
loop_
_atom_site_label
_atom_site_fract_x
_atom_site_fract_y
_atom_site_fract_z
_atom_site_occupancy
Ni1 0.238 0.000 0.182 1
Hg1 0.000 0.000 0.500 1
As1 0.000 0.500 0.000 1
```

## Properties
Fermi-level density of states: 3.67 states/eV per cell



The following is a PBE calculation of an optimized crystal structure of LaPt3, from the Alexandria database.

```
data_LaPt3
_space_group_name_H-M_alt 'P -6 m 2'
_space_group_IT_number 187
_space_group_name_Hall 'P -6 2'
_cell_length_a 2.9870
_cell_length_b 2.9870
_cell_length_c 9.6312
_cell_angle_alpha 90.00
_cell_angle_beta 90.00
_cell_angle_gamma 120.00
loop_
_atom_site_label
_atom_site_fract_x
_atom_site_fract_y
_atom_site_fract_z
_atom_site_occupancy
La1 0.0000 0.0000 0.0000 1
Pt1 0.0000 0.0000 0.5000 1
Pt2 0.3333 0.6667 0.2675 1
```

## Properties
Fermi-level density of states: 7.02 states/eV per cell



The following is a PBE calculation of an optimized crystal structure of UCrP2Ru, from the Alexandria database.

```
data_UCrP2Ru
_space_group_name_H-M_alt 'I -4 m 2'
_space_group_IT_number 119
_space_group_name_Hall 'I -4 -2'
_cell_length_a 4.023
_cell_length_b 4.023
_cell_length_c 9.403
_cell_angle_alpha 90.00
_cell_angle_beta 90.00
_cell_angle_gamma 90.00
loop_
_atom_site_label
_atom_site_fract_x
_atom_site_fract_y
_atom_site_fract_z
_atom_site_occupancy
U1 0.000 0.000 0.000 1
Cr1 0.000 0.500 0.250 1
P1 0.000 0.000 0.375 1
Ru1 0.000 0.500 0.750 1
```

## Properties
Fermi-level density of states: 9.08 states/eV per cell



Values for DFT formation energy, kcal/mol of atoms, ordered as above
1.5 -0.2 -15.9